w) A relaxed structure of GdDyPb. Source: Alexandria, functional PBE-GGA.

Geometry as POSCAR:
```
GdDyPb
1.0
4.089 0.000 0.000
0.000 4.089 0.000
-2.044 -2.044 5.258
Pb Gd Dy
1 1 1
Direct
0.285 0.285 0.571 Pb
0.625 0.625 0.250 Gd
0.940 0.940 0.879 Dy
```

- Volume: 29.31 Å³ per atom

x) A relaxed structure of GdDyPb. Source: Alexandria, functional PBE-GGA.

Geometry as POSCAR:
```
GdDyPb
1.0
3.732 0.000 0.000
0.000 5.315 0.000
0.000 -2.657 4.603
Pb Gd Dy
1 1 1
Direct
0.020 0.000 0.000 Pb
0.719 0.333 0.667 Gd
0.261 0.667 0.333 Dy
```

- Volume: 30.43 Å³ per atom

Quick one: least stable of them? x)

w) A relaxed structure of PmGd2Dy. Source: Alexandria, functional PBE-GGA.

Geometry as POSCAR:
```
PmGd2Dy
1.0
-4.383 -3.534 0.958
0.674 -5.632 -0.668
0.044 -3.432 4.565
Gd Pm Dy
2 1 1
Direct
0.250 0.250 0.250 Gd
0.750 0.750 0.750 Gd
0.000 0.000 0.000 Pm
0.500 0.500 0.500 Dy
```

- Volume: 32.93 Å³ per atom

x) A relaxed structure of PmGd2Dy. Source: Alexandria, functional PBE-GGA.

Geometry as POSCAR:
```
PmGd2Dy
1.0
5.080 0.000 0.000
0.000 5.067 0.000
0.000 0.000 5.067
Gd Pm Dy
2 1 1
Direct
0.000 0.000 0.500 Gd
0.000 0.500 0.000 Gd
0.500 0.000 0.000 Pm
0.500 0.500 0.500 Dy
```

- Volume: 32.61 Å³ per atom

Quick one: least stable of them? w)

w) A relaxed structure of PrGd2Dy. Source: Alexandria, functional PBE-GGA.

Geometry as POSCAR:
```
PrGd2Dy
1.0
-4.672 0.209 2.058
0.993 -4.208 2.682
1.804 2.852 3.807
Pr Gd Dy
1 2 1
Direct
0.500 0.000 0.000 Pr
0.000 0.000 0.500 Gd
0.000 0.500 0.000 Gd
0.500 0.500 0.500 Dy
```

- Volume: 33.06 Å³ per atom

x) A relaxed structure of PrGd2Dy. Source: Alexandria, functional PBE-GGA.

Geometry as POSCAR:
```
PrGd2Dy
1.0
5.729 0.000 0.000
2.864 4.961 0.000
2.864 1.654 4.678
Pr Gd Dy
1 2 1
Direct
0.500 0.500 0.500 Pr
0.250 0.250 0.250 Gd
0.750 0.750 0.750 Gd
0.000 0.000 0.000 Dy
```

- Volume: 33.24 Å³ per atom

Quick one: least stable of them? x)

w) A relaxed structure of Gd2DyPt. Source: Alexandria, functional PBE-GGA.

Geometry as POSCAR:
```
Gd2DyPt
1.0
3.744 0.000 0.000
1.872 3.242 0.000
1.872 1.081 10.524
Gd Pt Dy
2 1 1
Direct
0.109 0.109 0.672 Gd
0.891 0.891 0.328 Gd
0.500 0.500 0.500 Pt
0.000 0.000 0.000 Dy
```

- Volume: 31.93 Å³ per atom

x) A relaxed structure of Gd2DyPt. Source: Alexandria, functional PBE-GGA.

Geometry as POSCAR:
```
Gd2DyPt
1.0
-3.433 0.883 -0.675
-0.174 -2.589 -2.507
-2.553 -5.471 5.827
Gd Pt Dy
2 1 1
Direct
0.000 0.000 0.803 Gd
0.000 0.000 0.197 Gd
0.500 0.500 0.000 Pt
0.500 0.500 0.500 Dy
```

- Volume: 27.31 Å³ per atom

Quick one: least stable of them? w)

w) A relaxed structure of GdDy2Sb. Source: Alexandria, functional PBE-GGA.

Geometry as POSCAR:
```
GdDy2Sb
1.0
-2.236 0.601 -3.251
-2.608 -2.785 -1.171
-8.458 3.381 3.992
Sb Gd Dy
1 1 2
Direct
0.000 0.000 0.000 Sb
0.500 0.500 0.500 Gd
0.266 0.266 0.201 Dy
0.734 0.734 0.799 Dy
```

- Volume: 33.37 Å³ per atom

x) A relaxed structure of GdDy2Sb. Source: Alexandria, functional PBE-GGA.

Geometry as POSCAR:
```
GdDy2Sb
1.0
-2.863 -0.779 2.728
2.100 -3.188 1.293
3.375 4.138 4.724
Sb Gd Dy
1 1 2
Direct
0.500 0.500 0.500 Sb
0.500 0.500 0.000 Gd
0.000 0.000 0.724 Dy
0.000 0.000 0.276 Dy
```

- Volume: 28.96 Å³ per atom

y) A relaxed structure of GdDy2Sb. Source: Alexandria, functional PBE-GGA.

Geometry as POSCAR:
```
GdDy2Sb
1.0
4.737 0.000 0.000
0.000 4.831 0.000
0.000 0.000 4.831
Sb Gd Dy
1 1 2
Direct
0.500 0.500 0.500 Sb
0.500 0.000 0.000 Gd
0.000 0.000 0.500 Dy
0.000 0.500 0.000 Dy
```

- Volume: 27.63 Å³ per atom

Quick one: least stable of them? w)

w) A relaxed structure of GdDySb. Source: Alexandria, functional PBE-GGA.

Geometry as POSCAR:
```
GdDySb
1.0
-3.353 -1.526 1.604
-1.729 -1.082 -4.645
2.766 -3.413 2.535
Sb Gd Dy
1 1 1
Direct
0.034 0.000 0.000 Sb
0.718 0.333 0.667 Gd
0.248 0.667 0.333 Dy
```

- Volume: 29.84 Å³ per atom

x) A relaxed structure of GdDySb. Source: Alexandria, functional PBE-GGA.

Geometry as POSCAR:
```
GdDySb
1.0
4.003 0.000 0.000
0.000 4.003 0.000
-2.001 -2.001 5.288
Sb Gd Dy
1 1 1
Direct
0.619 0.619 0.239 Sb
0.961 0.961 0.922 Gd
0.269 0.269 0.539 Dy
```

- Volume: 28.24 Å³ per atom

Quick one: least stable of them? w)